[1]
Density functional theory data (GGA-PBE) for a relaxed structure of La3TlZn.

Results
- DOS at the Fermi energy: 10.06 states/eV/f.u.
- Calculated formation energy: 78 meV/atom
- SG: Pm-3m

a b c (Å): 5.679 5.679 5.679
angles (deg): 90.00 90.00 90.00
Sites, in units of the cell vectors:
La 0.000 0.000 0.500
La 0.000 0.500 0.000
La 0.500 0.000 0.000
Tl 0.500 0.500 0.500
Zn 0.000 0.000 0.000


[2]
Density functional theory data (GGA-PBE) for a relaxed structure of La8TlZn2.

Results
- DOS at the Fermi energy: 11.65 states/eV/f.u.
- Calculated formation energy: -176 meV/atom
- SG: C2/m

a b c (Å): 9.564 9.564 8.170
angles (deg): 113.21 113.21 30.98
Sites, in units of the cell vectors:
La 0.035 0.035 0.258
La 0.186 0.186 0.787
La 0.322 0.322 0.531
La 0.410 0.410 0.037
La 0.590 0.590 0.963
La 0.678 0.678 0.469
La 0.814 0.814 0.213
La 0.965 0.965 0.742
Tl 0.500 0.500 0.500
Zn 0.185 0.185 0.167
Zn 0.815 0.815 0.833


[3]
Density functional theory data (GGA-PBE) for a relaxed structure of LaTlZn.

Results
- DOS at the Fermi energy: 2.16 states/eV/f.u.
- Calculated formation energy: -363 meV/atom
- SG: P6_3/mmc

a b c (Å): 4.840 4.840 7.828
angles (deg): 90.00 90.00 120.00
Sites, in units of the cell vectors:
La 0.000 0.000 0.000
La 0.000 0.000 0.500
Tl 0.333 0.667 0.250
Tl 0.667 0.333 0.750
Zn 0.333 0.667 0.750
Zn 0.667 0.333 0.250


[4]
Density functional theory data (GGA-PBE) for a relaxed structure of La5TlZn4.

Results
- DOS at the Fermi energy: 12.65 states/eV/f.u.
- Calculated formation energy: -333 meV/atom
- SG: P4/mmm

a b c (Å): 3.785 3.785 19.261
angles (deg): 90.00 90.00 90.00
Sites, in units of the cell vectors:
La 0.000 0.000 0.000
La 0.000 0.000 0.195
La 0.000 0.000 0.385
La 0.000 0.000 0.615
La 0.000 0.000 0.805
Tl 0.500 0.500 0.500
Zn 0.500 0.500 0.098
Zn 0.500 0.500 0.289
Zn 0.500 0.500 0.711
Zn 0.500 0.500 0.902


[5]
Density functional theory data (GGA-PBE) for a relaxed structure of La6Tl3Zn.

Results
- DOS at the Fermi energy: 12.69 states/eV/f.u.
- Calculated formation energy: -259 meV/atom
- SG: P2_1/c

a b c (Å): 5.564 9.629 13.383
angles (deg): 90.00 114.54 90.00
Sites, in units of the cell vectors:
La 0.070 0.155 0.070
La 0.070 0.345 0.570
La 0.259 0.502 0.258
La 0.259 0.998 0.758
La 0.429 0.177 0.430
La 0.429 0.323 0.930
La 0.571 0.677 0.070
La 0.571 0.823 0.570
La 0.741 0.002 0.242
La 0.741 0.498 0.742
La 0.930 0.655 0.430
La 0.930 0.845 0.930
Tl 0.000 0.000 0.500
Tl 0.000 0.500 0.000
Tl 0.249 0.665 0.750
Tl 0.249 0.835 0.250
Tl 0.751 0.165 0.750
Tl 0.751 0.335 0.250
Zn 0.500 0.000 0.000
Zn 0.500 0.500 0.500


[6]
Density functional theory data (GGA-PBE) for a relaxed structure of La2Tl2Zn.

Results
- DOS at the Fermi energy: 3.41 states/eV/f.u.
- Calculated formation energy: -369 meV/atom
- SG: C2/m

a b c (Å): 6.291 6.291 11.612
angles (deg): 115.32 115.32 45.48
Sites, in units of the cell vectors:
La 0.022 0.022 0.341
La 0.177 0.177 0.099
La 0.823 0.823 0.901
La 0.978 0.978 0.659
Tl 0.350 0.350 0.433
Tl 0.473 0.473 0.123
Tl 0.527 0.527 0.877
Tl 0.650 0.650 0.567
Zn 0.279 0.279 0.660
Zn 0.721 0.721 0.340